No. 1
! PBE BaAcGeCl, relaxed; values from VASP
&SYSTEM
  ibrav = 0, nat = 4, ntyp = 4
/
ATOMIC_SPECIES
Ac 227.00 Ac.upf
Ba 137.33 Ba.upf
Cl 35.45 Cl.upf
Ge 72.64 Ge.upf
ATOMIC_POSITIONS crystal
Ac 0.250 0.250 0.250
Ba 0.750 0.750 0.750
Cl 0.500 0.500 0.500
Ge 0.000 0.000 0.000
CELL_PARAMETERS angstrom
-1.576 -1.797 -5.058
-3.247 -4.531 -0.472
-5.327 0.533 -1.623
! Crystal system   cubic
! E_form (uncorrected)   -4.3 eV per formula unit


No. 2
! PBE BeCdSi2, relaxed; values from VASP
&SYSTEM
  ibrav = 0, nat = 4, ntyp = 3
/
ATOMIC_SPECIES
Cd 112.41 Cd.upf
Si 28.09 Si.upf
Be 9.01 Be.upf
ATOMIC_POSITIONS crystal
Cd 0.750 0.250 0.500
Si 0.000 0.000 0.000
Si 0.500 0.500 0.000
Be 0.250 0.750 0.500
CELL_PARAMETERS angstrom
-3.563 2.071 3.922
-0.053 -1.121 5.577
3.370 1.451 -4.348
! Crystal system   tetragonal
! E_form (uncorrected)   2.5 eV per formula unit
! Offset from the most stable computed form   0.248 eV per atom


No. 3
! PBE Y2OF, relaxed; values from VASP
&SYSTEM
  ibrav = 0, nat = 4, ntyp = 3
/
ATOMIC_SPECIES
Y 88.91 Y.upf
O 16.00 O.upf
F 19.00 F.upf
ATOMIC_POSITIONS crystal
Y 0.899 0.899 0.303
O 0.500 0.500 0.500
F 0.000 0.000 0.000
Y 0.101 0.101 0.697
CELL_PARAMETERS angstrom
3.523 0.000 0.000
1.761 3.051 0.000
1.761 1.017 7.199
! Crystal system   trigonal
! E_form (uncorrected)   -9.7 eV per formula unit
! Offset from the most stable computed form   0.080 eV per atom